No. 1
Material: KBa2Gd
Method: DFT, GGA-PBE
State: optimized geometry

Calculated values
For the formation enthalpy at 0 K, the calculation gives 0.35 eV per atom. As for the symmetry: No. 166. The calculation puts the density of states at the Fermi level at 2.0483 states/eV/atom. For the total energy, the calculation gives -4.40 eV/atom.

Unit cell a=15.2666 b=15.2666 c=15.2666 alpha=15.02 beta=15.02 gamma=15.02
With the nearest neighbours (Å) after each atom.
Fractional positions:
K 0.0000 0.0000 0.0000  6 K 3.99
Ba 0.4208 0.4208 0.4208  1 Gd 3.59, 6 Ba 3.99
Ba 0.5792 0.5792 0.5792  1 Gd 3.59, 6 Ba 3.99
Gd 0.5000 0.5000 0.5000  2 Ba 3.59, 6 Gd 3.99



No. 2
Material: KBa2Gd
Method: DFT, GGA-PBE
State: optimized geometry

Calculated values
For the formation enthalpy at 0 K, the calculation gives 0.17 eV per atom. As for the symmetry: No. 123. The calculation puts the density of states at the Fermi level at 1.9770 states/eV/atom. For the total energy, the calculation gives -4.59 eV/atom.

Unit cell a=4.1309 b=4.1309 c=12.8124 alpha=90.00 beta=90.00 gamma=90.00
With the nearest neighbours (Å) after each atom.
Fractional positions:
K 0.0000 0.0000 0.0000  4 K 4.13
Ba 0.5000 0.5000 0.2876  4 Gd 3.99, 4 Ba 4.13
Ba 0.5000 0.5000 0.7124  4 Gd 3.99, 4 Ba 4.13
Gd 0.0000 0.0000 0.5000  8 Ba 3.99, 4 Gd 4.13



formation enthalpy at 0 K of number 1 (KBa2Gd)?
0.35 eV per atom



Repeat the second record exactly.
Material: KBa2Gd
Method: DFT, GGA-PBE
State: optimized geometry

Calculated values
For the formation enthalpy at 0 K, the calculation gives 0.17 eV per atom. As for the symmetry: No. 123. The calculation puts the density of states at the Fermi level at 1.9770 states/eV/atom. For the total energy, the calculation gives -4.59 eV/atom.

Unit cell a=4.1309 b=4.1309 c=12.8124 alpha=90.00 beta=90.00 gamma=90.00
With the nearest neighbours (Å) after each atom.
Fractional positions:
K 0.0000 0.0000 0.0000  4 K 4.13
Ba 0.5000 0.5000 0.2876  4 Gd 3.99, 4 Ba 4.13
Ba 0.5000 0.5000 0.7124  4 Gd 3.99, 4 Ba 4.13
Gd 0.0000 0.0000 0.5000  8 Ba 3.99, 4 Gd 4.13